PaSi3Pt | PBE | relaxed

DOS at the Fermi energy, states/eV/f.u.: 4.7
ΔE_f (raw), meV/atom: -502
Total energy, eV per atom: -6.86

Cell and atoms, written as POSCAR:
```
PaSi3Pt
1.0
4.120 0.000 0.000
0.000 8.142 0.000
-1.978 0.000 5.815
Pa Si Pt
2 6 2
direct
0.008 0.250 0.013
0.992 0.750 0.987
0.295 0.750 0.594
0.434 0.002 0.803
0.434 0.498 0.803
0.566 0.502 0.197
0.566 0.998 0.197
0.705 0.250 0.406
0.297 0.250 0.602
0.703 0.750 0.398
```